Entry from Alexandria: crystalline SrCuSb4 at its relaxed geometry (PBE).

```
SrCuSb4
1.0
0.000 4.438 4.438
4.438 0.000 4.438
4.438 4.438 0.000
Sr Cu Sb
1 1 4
Direct
0.750 0.750 0.750 Sr
0.000 0.000 0.000 Cu
0.879 0.374 0.374 Sb
0.374 0.374 0.879 Sb
0.374 0.879 0.374 Sb
0.374 0.374 0.374 Sb
```

Calculated values
M_tot   0.000 μB per atom
Calculated total energy   -22.0 eV/f.u.
DOS at the Fermi energy   1.53 states/eV per cell

=====

Entry from Alexandria: crystalline Sr2Cu2Sb at its relaxed geometry (PBE).

```
Sr2Cu2Sb
1.0
-6.006 0.964 -4.458
-4.476 -2.667 5.453
-0.527 4.192 1.617
Sb Cu Sr
2 4 4
Direct
0.000 0.000 0.000 Sb
0.500 0.500 0.000 Sb
0.387 0.887 0.000 Cu
0.887 0.613 0.000 Cu
0.613 0.113 0.000 Cu
0.113 0.387 0.000 Cu
0.187 0.687 0.500 Sr
0.687 0.813 0.500 Sr
0.813 0.313 0.500 Sr
0.313 0.187 0.500 Sr
```

Calculated values
M_tot   0.000 μB per atom
Calculated total energy   -17.4 eV/f.u.
DOS at the Fermi energy   3.73 states/eV per cell